(1)
# NaPr2Co | Alexandria via LeMat-Bulk | PBE-GGA | optimized geometry
data_NaPr2Co
_chemical_formula_sum 'Na3 Pr6 Co3'
_cell_length_a 4.0133
_cell_length_b 4.0133
_cell_length_c 28.1312
_cell_angle_alpha 90.00
_cell_angle_beta 90.00
_cell_angle_gamma 120.00
_symmetry_space_group_name_H-M 'R 3 m'
_symmetry_Int_Tables_number 160
_symmetry_space_group_name_Hall 'R 3 -2"'
loop_
_atom_site_label
_atom_site_type_symbol
_atom_site_fract_x
_atom_site_fract_y
_atom_site_fract_z
Na1 Na 0.0000 0.0000 0.0000
Pr1 Pr 0.0000 0.0000 0.5524
Pr2 Pr 0.0000 0.0000 0.7795
Co1 Co 0.0000 0.0000 0.1658
# - total DFT energy (no corrections) (eV/atom) = -4.470
# - energy above the most stable polymorph in this dataset (eV/atom) = 0.000
# - calculated formation energy (eV per atom) = 0.03


(2)
# Mn2OsW | Alexandria via LeMat-Bulk | PBE-GGA | optimized geometry
data_Mn2OsW
_chemical_formula_sum 'Mn6 Os3 W3'
_cell_length_a 2.7488
_cell_length_b 2.7488
_cell_length_c 25.8041
_cell_angle_alpha 90.00
_cell_angle_beta 90.00
_cell_angle_gamma 120.00
_symmetry_space_group_name_H-M 'R 3 m'
_symmetry_Int_Tables_number 160
_symmetry_space_group_name_Hall 'R 3 -2"'
loop_
_atom_site_label
_atom_site_type_symbol
_atom_site_fract_x
_atom_site_fract_y
_atom_site_fract_z
Mn1 Mn 0.0000 0.0000 0.0000
Mn2 Mn 0.0000 0.0000 0.2595
Os1 Os 0.0000 0.0000 0.7515
W1 W 0.0000 0.0000 0.5044
# - total DFT energy (no corrections) (eV/atom) = -10.384
# - calculated formation energy (eV per atom) = 0.25


(3)
# YMgSc4Se8 | Alexandria via LeMat-Bulk | PBE-GGA | optimized geometry
data_YMgSc4Se8
_chemical_formula_sum 'Y3 Mg3 Sc12 Se24'
_cell_length_a 7.9937
_cell_length_b 7.9937
_cell_length_c 19.8937
_cell_angle_alpha 90.00
_cell_angle_beta 90.00
_cell_angle_gamma 120.00
_symmetry_space_group_name_H-M 'R 3 m'
_symmetry_Int_Tables_number 160
_symmetry_space_group_name_Hall 'R 3 -2"'
loop_
_atom_site_label
_atom_site_type_symbol
_atom_site_fract_x
_atom_site_fract_y
_atom_site_fract_z
Y1 Y 0.0000 0.0000 0.0000
Mg1 Mg 0.0000 0.0000 0.6277
Sc1 Sc 0.0000 0.0000 0.3739
Sc2 Sc 0.0076 0.5038 0.5024
Se1 Se 0.0000 0.0000 0.2426
Se2 Se 0.0000 0.0000 0.7584
Se3 Se 0.0110 0.5055 0.7579
Se4 Se 0.1725 0.3450 0.5788
# - total DFT energy (no corrections) (eV/atom) = -5.986
# - formation energy from raw total energies (meV per atom) = -1611


(4)
# NaCa2GaCu | Alexandria via LeMat-Bulk | PBE-GGA | optimized geometry
data_NaCa2GaCu
_chemical_formula_sum 'Na1 Ca2 Ga1 Cu1'
_cell_length_a 5.642
_cell_length_b 5.642
_cell_length_c 4.639
_cell_angle_alpha 90.00
_cell_angle_beta 90.00
_cell_angle_gamma 90.00
_symmetry_space_group_name_H-M 'P 4/m m m'
_symmetry_Int_Tables_number 123
_symmetry_space_group_name_Hall '-P 4 2'
loop_
_atom_site_label
_atom_site_type_symbol
_atom_site_fract_x
_atom_site_fract_y
_atom_site_fract_z
Na1 Na 0.000 0.000 0.000
Ca1 Ca 0.000 0.500 0.500
Ga1 Ga 0.500 0.500 0.000
Cu1 Cu 0.500 0.500 0.500
# - total DFT energy (no corrections) (eV/atom) = -2.564
# - calculated formation energy (eV per atom) = -0.07


(5)
# Ac4TlN | Alexandria via LeMat-Bulk | PBE-GGA | optimized geometry
data_Ac4TlN
_chemical_formula_sum 'Ac8 Tl2 N2'
_cell_length_a 10.158
_cell_length_b 7.642
_cell_length_c 5.813
_cell_angle_alpha 90.00
_cell_angle_beta 90.00
_cell_angle_gamma 90.00
_symmetry_space_group_name_H-M 'P m n 21'
_symmetry_Int_Tables_number 31
loop_
_symmetry_equiv_pos_as_xyz
'x,y,z'
'-x+1/2,-y,z+1/2'
'-x,y,z'
'x+1/2,-y,z+1/2'
loop_
_atom_site_label
_atom_site_type_symbol
_atom_site_fract_x
_atom_site_fract_y
_atom_site_fract_z
Ac1 Ac 0.000 0.089 0.000
Ac2 Ac 0.000 0.791 0.507
Ac3 Ac 0.197 0.281 0.509
Tl1 Tl 0.000 0.515 0.012
N1 N 0.000 0.107 0.554
# - total DFT energy (no corrections) (eV/atom) = -4.970
# - formation energy from raw total energies (meV per atom) = -449
# - energy above the most stable polymorph in this dataset (eV/atom) = 0.000


(6)
# TeAs2 | Alexandria via LeMat-Bulk | PBE-GGA | optimized geometry
data_TeAs2
_chemical_formula_sum 'Te2 As4'
_cell_length_a 5.715
_cell_length_b 7.046
_cell_length_c 4.232
_cell_angle_alpha 90.00
_cell_angle_beta 90.00
_cell_angle_gamma 90.00
_symmetry_space_group_name_H-M 'P n n m'
_symmetry_Int_Tables_number 58
loop_
_symmetry_equiv_pos_as_xyz
'x,y,z'
'-x,-y,-z'
'-x,-y,z'
'x,y,-z'
'x+1/2,-y+1/2,-z+1/2'
'-x+1/2,y+1/2,z+1/2'
'-x+1/2,y+1/2,-z+1/2'
'x+1/2,-y+1/2,z+1/2'
loop_
_atom_site_label
_atom_site_type_symbol
_atom_site_fract_x
_atom_site_fract_y
_atom_site_fract_z
Te1 Te 0.000 0.000 0.000
As1 As 0.166 0.394 0.000
# - total DFT energy (no corrections) (eV/atom) = -3.887
# - formation energy from raw total energies (meV per atom) = 260